No. 1
A plane-wave DFT calculation with GGA-PBEsol was carried out for crystalline MnAsH2O5 at its relaxed geometry.

- Crystal system: monoclinic
- E: -6.5707 eV/atom

a b c (Å): 5.271 5.271 7.450
angles (deg): 103.75 103.75 98.38
Each line ends with the local moment (μB).
Positions (direct):
Mn 0.500 0.000 0.500  3.61
Mn 0.000 0.500 0.000  3.61
As 0.564 0.436 0.250  0.04
As 0.436 0.564 0.750  0.04
H 0.878 0.947 0.799  0.00
H 0.053 0.122 0.701  0.00
H 0.122 0.053 0.201  0.00
H 0.947 0.878 0.299  0.00
O 0.110 0.890 0.250  0.09
O 0.890 0.110 0.750  0.09
O 0.339 0.711 0.571  0.03
O 0.289 0.661 0.929  0.03
O 0.661 0.289 0.429  0.03
O 0.711 0.339 0.071  0.03
O 0.777 0.669 0.844  0.01
O 0.331 0.223 0.656  0.01
O 0.223 0.331 0.156  0.01
O 0.669 0.777 0.344  0.01

---

No. 2
A plane-wave DFT calculation with GGA-PBEsol was carried out for crystalline ScMnAs2H at its relaxed geometry.

- Crystal system: tetragonal
- E: -6.2211 eV/atom

a b c (Å): 3.251 4.597 4.597
angles (deg): 90.00 90.00 90.00
Each line ends with the local moment (μB).
Positions (direct):
Sc 0.500 0.500 0.500  -0.05
H 0.000 0.000 0.000  -0.03
As 0.000 0.000 0.500  -0.08
As 0.000 0.500 0.000  -0.08
Mn 0.500 0.000 0.000  2.83

---

No. 3
A plane-wave DFT calculation with GGA-PBEsol was carried out for crystalline MnAs2HSe at its relaxed geometry.

- Crystal system: tetragonal
- E: -4.6888 eV/atom

a b c (Å): 4.501 4.501 4.649
angles (deg): 90.00 90.00 90.00
Each line ends with the local moment (μB).
Positions (direct):
H 0.500 0.500 0.500  -0.14
As 0.000 0.500 0.000  -0.03
As 0.500 0.000 0.000  -0.03
Mn 0.000 0.000 0.000  1.72
Se 0.000 0.000 0.500  0.10

---

No. 4
A plane-wave DFT calculation with GGA-PBEsol was carried out for crystalline YMnAs2H at its relaxed geometry.

- Crystal system: tetragonal
- E: -6.1008 eV/atom

a b c (Å): 3.909 4.489 4.489
angles (deg): 90.00 90.00 90.00
Each line ends with the local moment (μB).
Positions (direct):
Y 0.500 0.000 0.000  -0.02
H 0.000 0.000 0.000  -0.01
As 0.000 0.000 0.500  0.00
As 0.000 0.500 0.000  0.00
Mn 0.500 0.500 0.500  3.79

---

No. 5
A plane-wave DFT calculation with GGA-PBEsol was carried out for crystalline Mo2AsH2 at its relaxed geometry.

- Crystal system: tetragonal
- E: -7.1370 eV/atom

a b c (Å): 3.099 3.099 5.644
angles (deg): 105.94 105.94 90.00
Positions (direct):
H 0.250 0.750 0.500
H 0.750 0.250 0.500
Mo 0.353 0.353 0.706
Mo 0.647 0.647 0.294
As 0.000 0.000 0.000

---

No. 6
A plane-wave DFT calculation with GGA-PBEsol was carried out for crystalline MoAs2H at its relaxed geometry.

- Crystal system: tetragonal
- E: -5.9283 eV/atom

a b c (Å): 5.132 5.132 5.132
angles (deg): 108.09 110.17 110.17
Positions (direct):
H 0.000 0.500 0.500
H 0.500 0.250 0.750
Mo 0.000 0.000 0.000
Mo 0.500 0.750 0.250
As 0.915 0.540 0.125
As 0.085 0.210 0.625
As 0.585 0.375 0.460
As 0.415 0.875 0.790